A geometry-optimized SnMoF6 structure, computed with PBE+U.

abc: 5.430 5.430 7.650
angles: 90.00 90.00 90.00
Last column: magnetic moment on the atom in μB.
Positions (direct):
Mo 0.500 0.500 0.250  2.01
F 0.274 0.791 0.194  0.01
F 0.664 0.629 0.000  -0.05
F 0.371 0.664 0.500  -0.05
F 0.209 0.274 0.694  0.01
Sn 0.000 0.000 0.500  -0.01
F 0.629 0.336 0.500  -0.05
F 0.726 0.209 0.806  0.01
F 0.274 0.791 0.806  0.01
F 0.791 0.726 0.306  0.01
Mo 0.500 0.500 0.750  2.01
F 0.726 0.209 0.194  0.01
F 0.336 0.371 0.000  -0.05
Sn 0.000 0.000 0.000  -0.01
F 0.791 0.726 0.694  0.01
F 0.209 0.274 0.306  0.01

Properties
Space group: P4_2/m (84)
E (eV per atom): -5.05
V (Å³ per atom): 14.097